{
  "formula": "KBa3V2O8",
  "functional": "PBE+U",
  "state": "optimized geometry",
  "lattice": [[6.054, 0.000, 0.000], [-3.027, 5.243, 0.000], [0.000, 0.000, 7.978]],
  "species": ["K", "Ba", "Ba", "Ba", "V", "V", "O", "O", "O", "O", "O", "O", "O", "O"],
  "frac_coords": [[0.000, 0.000, 0.000], [0.000, 0.000, 0.500], [0.333, 0.667, 0.168], [0.667, 0.333, 0.832], [0.333, 0.667, 0.696], [0.667, 0.333, 0.304], [0.176, 0.353, 0.780], [0.176, 0.824, 0.780], [0.333, 0.667, 0.475], [0.353, 0.176, 0.220], [0.647, 0.824, 0.780], [0.667, 0.333, 0.525], [0.824, 0.176, 0.220], [0.824, 0.647, 0.220]],
  "m_tot_mub_per_cell": 1.000,
  "vol_a3_per_atom": 18.09,
  "energy_ev_per_atom": -6.72,
  "mass_density_g_cm3": 4.47
}